This record from Alexandria describes an optimized crystal structure of La2SiI. The functional is PBE.

Lattice parameters (Å, degrees): 3.7913 3.7913 8.1541 90.00 90.00 90.00
With the nearest neighbours (Å) after each atom.
Fractional positions:
La 0.0000 0.0000 0.7931  4 Si 3.17, 1 La 3.37
La 0.0000 0.0000 0.2069  4 Si 3.17, 1 La 3.37
Si 0.5000 0.5000 0.0000  8 La 3.17
I 0.5000 0.5000 0.5000  8 La 3.59, 4 I 3.79

- Magnetic moment: 0.25 μB per formula unit
- ΔE_f (raw): -0.788 eV/atom